Entry 1:
DFT (PBE) results for a relaxed HfSc2Pa crystal.

Lattice parameters (Å, degrees): 4.4612 4.4612 4.7528 90.00 90.00 90.00
Space group P4/mmm (No. 123)
Inequivalent atoms, fractional coordinates:
Hf 0.0000 0.0000 0.0000 x1
Sc 0.0000 0.5000 0.5000 x2
Pa 0.5000 0.5000 0.0000 x1

* formation enthalpy at 0 K: 0.110 eV/atom
* excess energy over the best structure of this formula in the dataset: 55 meV per atom

Entry 2:
DFT (PBE) results for a relaxed HfBAu crystal.

Lattice parameters (Å, degrees): 3.6610 3.6610 9.2743 90.00 90.00 120.00
Space group P6_3/mmc (No. 194)
Inequivalent atoms, fractional coordinates:
Hf 0.0000 0.0000 0.0000 x2
B 0.0000 0.0000 0.2500 x2
Au 0.3333 0.6667 0.2500 x2

* formation enthalpy at 0 K: 0.332 eV/atom

Entry 3:
DFT (PBE) results for a relaxed HoEr5Zn4 crystal.

Lattice parameters (Å, degrees): 3.5326 3.5326 19.1980 90.00 90.00 90.00
Space group P4/mmm (No. 123)
Inequivalent atoms, fractional coordinates:
Ho 0.0000 0.0000 0.0000 x1
Er 0.5000 0.5000 0.1315 x2
Er 0.5000 0.5000 0.3158 x2
Er 0.5000 0.5000 0.5000 x1
Zn 0.0000 0.0000 0.2236 x2
Zn 0.0000 0.0000 0.4068 x2

* formation enthalpy at 0 K: -0.274 eV/atom

Entry 4:
DFT (PBE) results for a relaxed Pr5YIr4 crystal.

Lattice parameters (Å, degrees): 18.8320 4.3230 7.6523 90.00 113.84 90.00
Space group C2/m (No. 12)
Inequivalent atoms, fractional coordinates:
Pr 0.0000 0.0000 0.0000 x2
Pr 0.1643 0.5000 0.4216 x4
Pr 0.1644 0.5000 0.9072 x4
Y 0.0000 0.0000 0.5000 x2
Ir 0.0000 0.5000 0.2549 x4
Ir 0.1978 0.0000 0.6978 x4

* formation enthalpy at 0 K: -0.515 eV/atom

Entry 5:
DFT (PBE) results for a relaxed HoCdAgRh crystal.

Lattice parameters (Å, degrees): 6.8019 6.8019 6.8019 90.00 90.00 90.00
Space group F-43m (No. 216)
Inequivalent atoms, fractional coordinates:
Ho 0.0000 0.0000 0.0000 x4
Cd 0.0000 0.0000 0.5000 x4
Ag 0.2500 0.2500 0.7500 x4
Rh 0.2500 0.2500 0.2500 x4

* formation enthalpy at 0 K: -0.400 eV/atom

Entry 6:
DFT (PBE) results for a relaxed CdBiB2H crystal.

Lattice parameters (Å, degrees): 4.3083 4.3083 4.1581 90.00 90.00 90.00
Space group P4/mmm (No. 123)
Inequivalent atoms, fractional coordinates:
Cd 0.0000 0.0000 0.0000 x1
Bi 0.5000 0.5000 0.0000 x1
B 0.0000 0.5000 0.5000 x2
H 0.5000 0.5000 0.5000 x1

Entry 7:
DFT (PBE) results for a relaxed NiHgRh2 crystal.

Lattice parameters (Å, degrees): 6.2587 6.2587 6.2587 90.00 90.00 90.00
Space group F-43m (No. 216)
Inequivalent atoms, fractional coordinates:
Ni 0.0000 0.0000 0.0000 x4
Hg 0.2500 0.2500 0.7500 x4
Rh 0.0000 0.0000 0.5000 x4
Rh 0.2500 0.2500 0.2500 x4

* formation enthalpy at 0 K: 0.325 eV/atom

Entry 8:
DFT (PBE) results for a relaxed TiInSbO6 crystal.

Lattice parameters (Å, degrees): 5.2094 5.2094 9.2899 90.00 90.00 120.00
Space group P-31c (No. 163)
Inequivalent atoms, fractional coordinates:
Ti 0.3333 0.6667 0.2500 x2
In 0.0000 0.0000 0.0000 x2
Sb 0.3333 0.6667 0.7500 x2
O 0.0039 0.3569 0.1348 x12

* E_form (uncorrected): -1.966 eV per atom

Entry 9:
DFT (PBE) results for a relaxed AlZn5Rh6 crystal.

Lattice parameters (Å, degrees): 4.2588 12.7869 6.0567 90.00 90.00 90.00
Space group Cmmm (No. 65)
Inequivalent atoms, fractional coordinates:
Al 0.0000 0.0000 0.0000 x2
Zn 0.0000 0.0000 0.5000 x2
Zn 0.0000 0.3315 0.0000 x4
Zn 0.0000 0.3333 0.5000 x4
Rh 0.0000 0.1648 0.2484 x8
Rh 0.0000 0.5000 0.2456 x4

* formation enthalpy at 0 K: -0.523 eV/atom

Entry 10:
DFT (PBE) results for a relaxed K2ZnAs crystal.

Lattice parameters (Å, degrees): 3.7444 3.7444 33.4228 90.00 90.00 120.00
Space group R-3m (No. 166, hexagonal axes)
Inequivalent atoms, fractional coordinates:
K 0.0000 0.0000 0.2395 x6
Zn 0.0000 0.0000 0.0000 x3
As 0.0000 0.0000 0.5000 x3

* formation enthalpy at 0 K: 0.198 eV/atom
* excess energy over the best structure of this formula in the dataset: 458 meV per atom

no.,D(E_F) (states/eV/atom),uncorrected energy (eV per atom)
1,1.27,-7.92
2,0.44,-6.30
3,1.11,-3.52
4,0.61,-7.10
5,0.55,-4.32
6,0.29,-2.68
7,2.03,-4.87
8,0.00,-6.91
9,0.60,-5.04
10,0.72,-1.83